# Sc2CrNi PBE-GGA optimized geometry
# Total magnetic moment: 2.42 μB per formula unit
# Volume: 18.0 Å³ per atom
# Crystal system: monoclinic
# Energy of formation: -0.017 eV per atom
# E: -7.03 eV per atom
# ρ: 4.6 g cm⁻³
data_Sc2CrNi
_space_group_name_H-M_alt 'P 1 m 1'
_space_group_IT_number 6
_space_group_name_Hall 'P -2y'
_cell_length_a 4.203
_cell_length_b 3.349
_cell_length_c 5.534
_cell_angle_alpha 90.00
_cell_angle_beta 112.22
_cell_angle_gamma 90.00
loop_
_atom_site_label
_atom_site_fract_x
_atom_site_fract_y
_atom_site_fract_z
Sc1 0.000 0.000 0.000
Sc2 0.295 0.500 0.590
Cr1 0.712 0.000 0.425
Ni1 0.554 0.500 0.108